Entry 1:
BaCuPb2 | PBE | relaxed

Cell lengths 4.593, 4.588, 6.563 Å; angles 90.00, 108.50, 90.00 degrees
Space group Pm (No. 6)
Unique sites:
Ba (0.000, 0.000, 0.000)
Cu (0.405, 0.500, 0.785)
Pb (0.300, 0.000, 0.557)
Pb (0.736, 0.500, 0.426)

size of the total moment	0.00	μB/atom
ΔE_f	-36	kJ/mol of formula units

=====

Entry 2:
Rb2NaIn4Ge3 | PBE | relaxed

Cell lengths 5.019, 5.019, 11.840 Å; angles 90.00, 90.00, 90.00 degrees
Space group P-4m2 (No. 115)
Unique sites:
Rb (0.000, 0.500, 0.241)
Na (0.000, 0.000, 0.500)
In (0.000, 0.000, 0.000)
In (0.000, 0.500, 0.641)
In (0.500, 0.500, 0.000)
Ge (0.000, 0.500, 0.877)
Ge (0.500, 0.500, 0.500)

size of the total moment	0.00	μB/atom
ΔE_f	-39	kJ/mol of formula units

=====

Entry 3:
NaTl5CdPb2 | PBE | relaxed

Cell lengths 3.368, 16.347, 9.908 Å; angles 90.00, 99.77, 90.00 degrees
Space group P2_1 (No. 4)
Unique sites:
Na (0.039, 0.000, 0.077)
Tl (0.037, 0.681, 0.074)
Tl (0.195, 0.345, 0.390)
Tl (0.205, 0.008, 0.410)
Tl (0.206, 0.684, 0.413)
Tl (0.469, 0.845, 0.936)
Cd (0.368, 0.346, 0.735)
Pb (0.373, 0.018, 0.750)
Pb (0.378, 0.670, 0.756)

size of the total moment	0.00	μB/atom
ΔE_f	-8	kJ/mol of formula units

=====

Entry 4:
Dy2Ni3P4Pd | PBE | relaxed

Cell lengths 4.052, 4.052, 9.155 Å; angles 90.00, 90.00, 90.00 degrees
Space group P-4m2 (No. 115)
Unique sites:
Dy (0.000, 0.500, 0.241)
Ni (0.000, 0.500, 0.887)
Ni (0.500, 0.500, 0.500)
P (0.000, 0.000, 0.000)
P (0.000, 0.500, 0.642)
P (0.500, 0.500, 0.000)
Pd (0.000, 0.000, 0.500)

size of the total moment	0.00	μB/atom
ΔE_f	-936	kJ/mol of formula units

=====

Entry 5:
BeV6Ga3 | PBE | relaxed

Cell lengths 8.2608, 8.2608, 13.9565 Å; angles 90.00, 90.00, 120.00 degrees
Space group R-3m (No. 166, hexagonal axes)
Unique sites:
Be (0.0000, 0.0000, 0.0000)
Be (0.0000, 0.0000, 0.5000)
V (0.0698, 0.5349, 0.2661)
V (0.0943, 0.5471, 0.5744)
Ga (0.1006, 0.5503, 0.9115)

size of the total moment	0.00	μB/atom
ΔE_f	7	kJ/mol of formula units

=====

Entry 6:
Tb5Pm12Pr2 | PBE | relaxed

Cell lengths 15.956, 9.368, 8.777 Å; angles 90.00, 91.42, 90.00 degrees
Space group C2/m (No. 12)
Unique sites:
Tb (0.000, 0.000, 0.000)
Tb (0.202, 0.500, 0.523)
Tb (0.230, 0.000, 0.070)
Pm (0.062, 0.500, 0.840)
Pm (0.085, 0.000, 0.381)
Pm (0.127, 0.306, 0.166)
Pm (0.153, 0.180, 0.739)
Pr (0.000, 0.325, 0.500)

size of the total moment	0.00	μB/atom
ΔE_f	235	kJ/mol of formula units
energy relative to the lowest polymorph listed for this composition	0.6	kJ per mole of atoms

=====

Entry 7:
La5S4Br | PBE | relaxed

Cell lengths 4.1553, 4.1553, 52.3681 Å; angles 90.00, 90.00, 120.00 degrees
Space group R-3m (No. 166, hexagonal axes)
Unique sites:
La (0.0000, 0.0000, 0.0000)
La (0.0000, 0.0000, 0.2061)
La (0.0000, 0.0000, 0.3986)
S (0.0000, 0.0000, 0.0970)
S (0.0000, 0.0000, 0.3009)
Br (0.0000, 0.0000, 0.5000)

size of the total moment	0.00	μB/atom
E_form (uncorrected)	-2.000	eV/atom

=====

Entry 8:
Pm3Pr8Ho | PBE | relaxed

Cell lengths 8.896, 8.896, 11.731 Å; angles 90.00, 90.00, 90.00 degrees
Space group I-42m (No. 121)
Unique sites:
Pm (0.000, 0.000, 0.000)
Pm (0.000, 0.500, 0.250)
Pr (0.124, 0.124, 0.251)
Pr (0.248, 0.248, 0.505)
Ho (0.000, 0.000, 0.500)

size of the total moment	0.00	μB/atom
ΔE_f	627	kJ/mol of formula units

=====

Entry 9:
MgTl4Ir | PBE | relaxed

Cell lengths 8.626, 8.626, 8.626 Å; angles 90.00, 90.00, 90.00 degrees
Space group F-43m (No. 216)
Unique sites:
Mg (0.000, 0.000, 0.000)
Tl (0.124, 0.124, 0.624)
Ir (0.250, 0.250, 0.250)

size of the total moment	0.00	μB/atom
ΔE_f	433	kJ/mol of formula units

=====

Entry 10:
Li2Os2Rh | PBE | relaxed

Cell lengths 6.303, 6.303, 3.038 Å; angles 90.00, 90.00, 90.00 degrees
Space group P4/mbm (No. 127)
Unique sites:
Li (0.127, 0.373, 0.000)
Os (0.169, 0.669, 0.500)
Rh (0.000, 0.000, 0.000)

size of the total moment	0.00	μB/atom
ΔE_f	300	kJ/mol of formula units
energy relative to the lowest polymorph listed for this composition	0.0	kJ per mole of atoms

=====

Entry 11:
AcTbAg2 | PBE | relaxed

Cell lengths 7.648, 7.648, 7.648 Å; angles 90.00, 90.00, 90.00 degrees
Space group Fm-3m (No. 225)
Unique sites:
Ac (0.000, 0.000, 0.000)
Tb (0.000, 0.000, 0.500)
Ag (0.250, 0.250, 0.250)

size of the total moment	0.00	μB/atom
ΔE_f	-92	kJ/mol of formula units
energy relative to the lowest polymorph listed for this composition	4.0	kJ per mole of atoms

=====

Entry 12:
Be2TeIr | PBE | relaxed

Cell lengths 4.042, 4.042, 15.734 Å; angles 90.00, 90.00, 90.00 degrees
Space group I-42d (No. 122)
Unique sites:
Be (0.133, 0.250, 0.125)
Te (0.000, 0.000, 0.500)
Ir (0.000, 0.000, 0.000)

size of the total moment	0.00	μB/atom
E_form (uncorrected)	0.205	eV/atom

=====

Entry 13:
Ac2ErNi3Ge4 | PBE | relaxed

Cell lengths 4.324, 4.324, 11.027 Å; angles 90.00, 90.00, 90.00 degrees
Space group P-4m2 (No. 115)
Unique sites:
Ac (0.000, 0.500, 0.227)
Er (0.000, 0.000, 0.500)
Ni (0.000, 0.500, 0.890)
Ni (0.500, 0.500, 0.500)
Ge (0.000, 0.000, 0.000)
Ge (0.000, 0.500, 0.664)
Ge (0.500, 0.500, 0.000)

size of the total moment	0.00	μB/atom
ΔE_f	-600	kJ/mol of formula units

=====

Entry 14:
Ca2HgPbW | PBE | relaxed

Cell lengths 5.986, 5.986, 5.614 Å; angles 90.00, 90.00, 90.00 degrees
Space group P4/mmm (No. 123)
Unique sites:
Ca (0.000, 0.500, 0.000)
Hg (0.000, 0.000, 0.500)
Pb (0.000, 0.000, 0.000)
W (0.500, 0.500, 0.500)

size of the total moment	1.01	μB/atom
ΔE_f	603	kJ/mol of formula units
energy relative to the lowest polymorph listed for this composition	41.7	kJ per mole of atoms

=====

Entry 15:
Ce2Cd7 | PBE | relaxed

Cell lengths 5.9438, 5.9438, 43.6612 Å; angles 90.00, 90.00, 120.00 degrees
Space group R-3m (No. 166, hexagonal axes)
Unique sites:
Ce (0.0000, 0.0000, 0.0522)
Ce (0.0000, 0.0000, 0.1534)
Cd (0.0000, 0.0000, 0.2780)
Cd (0.0000, 0.0000, 0.3899)
Cd (0.0000, 0.0000, 0.5000)
Cd (0.0000, 0.5000, 0.0000)
Cd (0.0050, 0.5025, 0.8884)

size of the total moment	0.25	μB/atom
ΔE_f	-124	kJ/mol of formula units

=====

Entry 16:
CuBi2Pd | PBE | relaxed

Cell lengths 7.452, 7.452, 6.766 Å; angles 90.00, 90.00, 90.00 degrees
Space group I-42d (No. 122)
Unique sites:
Cu (0.000, 0.000, 0.000)
Bi (0.242, 0.250, 0.125)
Pd (0.000, 0.000, 0.500)

size of the total moment	0.00	μB/atom
ΔE_f	66	kJ/mol of formula units

=====

Entry 17:
LaPrAsO2 | PBE | relaxed

Cell lengths 3.984, 3.984, 13.508 Å; angles 90.00, 90.00, 90.00 degrees
Space group I4mm (No. 107)
Unique sites:
La (0.000, 0.000, 0.000)
Pr (0.000, 0.000, 0.685)
As (0.000, 0.000, 0.340)
O (0.000, 0.500, 0.092)

size of the total moment	0.03	μB/atom
E_form (uncorrected)	-2.598	eV/atom

=====

Entry 18:
La3PbO | PBE | relaxed

Cell lengths 4.0818, 4.0818, 21.2264 Å; angles 90.00, 90.00, 120.00 degrees
Space group P6_3/mmc (No. 194)
Unique sites:
La (0.0000, 0.0000, 0.2500)
La (0.3333, 0.6667, 0.1137)
Pb (0.0000, 0.0000, 0.0000)
O (0.3333, 0.6667, 0.2500)

size of the total moment	0.04	μB/atom
E_form (uncorrected)	-1.235	eV/atom

=====

Entry 19:
CrHSe2 | PBE | relaxed

Cell lengths 8.553, 11.122, 13.103 Å; angles 90.00, 108.81, 90.00 degrees
Space group C2/c (No. 15)
Unique sites:
Cr (0.019, 0.091, 0.388)
Cr (0.226, 0.310, 0.413)
H (0.093, 0.497, 0.709)
H (0.135, 0.181, 0.773)
Se (0.000, 0.087, 0.750)
Se (0.000, 0.404, 0.250)
Se (0.010, 0.273, 0.488)
Se (0.210, 0.019, 0.039)
Se (0.218, 0.146, 0.286)

size of the total moment	0.13	μB/atom
energy relative to the lowest polymorph listed for this composition	11.9	kJ per mole of atoms

=====

Entry 20:
TmHfBi | PBE | relaxed

Cell lengths 5.2994, 5.2994, 3.2951 Å; angles 90.00, 90.00, 120.00 degrees
Space group P-6m2 (No. 187)
Unique sites:
Tm (0.0000, 0.0000, 0.0000)
Hf (0.6667, 0.3333, 0.5000)
Bi (0.3333, 0.6667, 0.5000)

size of the total moment	0.42	μB/atom
ΔE_f	12	kJ/mol of formula units
energy relative to the lowest polymorph listed for this composition	33.1	kJ per mole of atoms

=====

Entry 21:
GdYLuTl | PBE | relaxed

Cell lengths 7.712, 7.712, 7.712 Å; angles 90.00, 90.00, 90.00 degrees
Space group F-43m (No. 216)
Unique sites:
Gd (0.000, 0.000, 0.000)
Y (0.000, 0.000, 0.500)
Lu (0.250, 0.250, 0.750)
Tl (0.250, 0.250, 0.250)

size of the total moment	2.12	μB/atom
ΔE_f	-29	kJ/mol of formula units